A.
# PBE Pr3Nd4Mg, optimized geometry
data_Pr3Nd4Mg
_chemical_formula_sum 'Pr3 Nd4 Mg1'
_symmetry_space_group_name_H-M 'P 4/m m m'
_symmetry_Int_Tables_number 123
_symmetry_space_group_name_Hall '-P 4 2'
_cell_length_a 3.719
_cell_length_b 3.719
_cell_length_c 19.851
_cell_angle_alpha 90.00
_cell_angle_beta 90.00
_cell_angle_gamma 90.00
loop_
_atom_site_label
_atom_site_fract_x
_atom_site_fract_y
_atom_site_fract_z
Pr1 0.000 0.000 0.000
Pr2 0.000 0.000 0.263
Nd1 0.500 0.500 0.131
Nd2 0.500 0.500 0.392
Mg1 0.000 0.000 0.500
# Total magnetic moment (Bohr magnetons per cell): 0.0
# N(E_F) (states/eV/atom): 1.3472



B.
# PBE Pr3Nd4Mg, optimized geometry
data_Pr3Nd4Mg
_chemical_formula_sum 'Pr6 Nd8 Mg2'
_symmetry_space_group_name_H-M 'P m n 21'
_symmetry_Int_Tables_number 31
_cell_length_a 11.723
_cell_length_b 7.321
_cell_length_c 6.390
_cell_angle_alpha 90.00
_cell_angle_beta 90.00
_cell_angle_gamma 90.00
loop_
_symmetry_equiv_pos_as_xyz
'x,y,z'
'-x+1/2,-y,z+1/2'
'-x,y,z'
'x+1/2,-y,z+1/2'
loop_
_atom_site_label
_atom_site_fract_x
_atom_site_fract_y
_atom_site_fract_z
Pr1 0.000 0.127 0.000
Pr2 0.241 0.123 0.653
Nd1 0.000 0.388 0.466
Nd2 0.000 0.629 0.993
Nd3 0.240 0.631 0.649
Mg1 0.000 0.880 0.486
# Total magnetic moment (Bohr magnetons per cell): 0.0
# N(E_F) (states/eV/atom): 1.2762



Name the least stable of them. B.



A.
# PBE Pr8NdMg2, optimized geometry
data_Pr8NdMg2
_chemical_formula_sum 'Pr16 Nd2 Mg4'
_symmetry_space_group_name_H-M 'C 1 2/m 1'
_symmetry_Int_Tables_number 12
_cell_length_a 17.556
_cell_length_b 5.409
_cell_length_c 8.544
_cell_angle_alpha 90.00
_cell_angle_beta 112.42
_cell_angle_gamma 90.00
loop_
_symmetry_equiv_pos_as_xyz
'x,y,z'
'-x,-y,-z'
'-x,y,-z'
'x,-y,z'
'x+1/2,y+1/2,z'
'-x+1/2,-y+1/2,-z'
'-x+1/2,y+1/2,-z'
'x+1/2,-y+1/2,z'
loop_
_atom_site_label
_atom_site_fract_x
_atom_site_fract_y
_atom_site_fract_z
Pr1 0.051 0.000 0.235
Pr2 0.099 0.500 0.967
Pr3 0.147 0.000 0.703
Pr4 0.186 0.500 0.449
Nd1 0.000 0.500 0.500
Mg1 0.225 0.000 0.130
# Total magnetic moment (Bohr magnetons per cell): 0.0
# N(E_F) (states/eV/atom): 1.3969



B.
# PBE Pr8NdMg2, optimized geometry
data_Pr8NdMg2
_chemical_formula_sum 'Pr16 Nd2 Mg4'
_symmetry_space_group_name_H-M 'C 1 2/m 1'
_symmetry_Int_Tables_number 12
_cell_length_a 9.078
_cell_length_b 16.061
_cell_length_c 5.960
_cell_angle_alpha 90.00
_cell_angle_beta 118.20
_cell_angle_gamma 90.00
loop_
_symmetry_equiv_pos_as_xyz
'x,y,z'
'-x,-y,-z'
'-x,y,-z'
'x,-y,z'
'x+1/2,y+1/2,z'
'-x+1/2,-y+1/2,-z'
'-x+1/2,y+1/2,-z'
'x+1/2,-y+1/2,z'
loop_
_atom_site_label
_atom_site_fract_x
_atom_site_fract_y
_atom_site_fract_z
Pr1 0.000 0.211 0.000
Pr2 0.088 0.500 0.794
Pr3 0.212 0.115 0.643
Nd1 0.000 0.000 0.000
Mg1 0.000 0.307 0.500
# Total magnetic moment (Bohr magnetons per cell): 0.0
# N(E_F) (states/eV/atom): 1.3059



Name the least stable of them. B.



A.
# PBE Pr4Nd2Mg, optimized geometry
data_Pr4Nd2Mg
_chemical_formula_sum 'Pr16 Nd8 Mg4'
_symmetry_space_group_name_H-M 'I m m a'
_symmetry_Int_Tables_number 74
_symmetry_space_group_name_Hall '-I 2b 2'
_cell_length_a 6.935
_cell_length_b 11.613
_cell_length_c 12.272
_cell_angle_alpha 90.00
_cell_angle_beta 90.00
_cell_angle_gamma 90.00
loop_
_atom_site_label
_atom_site_fract_x
_atom_site_fract_y
_atom_site_fract_z
Pr1 0.000 0.015 0.153
Pr2 0.223 0.250 0.992
Nd1 0.000 0.000 0.500
Nd2 0.000 0.250 0.718
Mg1 0.250 0.250 0.250
# Total magnetic moment (Bohr magnetons per cell): 0.0
# N(E_F) (states/eV/atom): 1.0657



B.
# PBE Pr4Nd2Mg, optimized geometry
data_Pr4Nd2Mg
_chemical_formula_sum 'Pr4 Nd2 Mg1'
_symmetry_space_group_name_H-M 'P -4 2 m'
_symmetry_Int_Tables_number 111
_cell_length_a 4.817
_cell_length_b 4.817
_cell_length_c 11.544
_cell_angle_alpha 90.00
_cell_angle_beta 90.00
_cell_angle_gamma 90.00
loop_
_symmetry_equiv_pos_as_xyz
'x,y,z'
'y,-x,-z'
'-x,-y,z'
'-y,x,-z'
'x,-y,-z'
'y,x,z'
'-x,y,-z'
'-y,-x,z'
loop_
_atom_site_label
_atom_site_fract_x
_atom_site_fract_y
_atom_site_fract_z
Pr1 0.240 0.240 0.234
Nd1 0.000 0.500 0.500
Mg1 0.500 0.500 0.000
# Total magnetic moment (Bohr magnetons per cell): 0.0
# N(E_F) (states/eV/atom): 1.5396



Name the least stable of them. B.



A.
# PBE PrNd8Mg2, optimized geometry
data_PrNd8Mg2
_chemical_formula_sum 'Pr2 Nd16 Mg4'
_symmetry_space_group_name_H-M 'C 1 2/m 1'
_symmetry_Int_Tables_number 12
_cell_length_a 9.018
_cell_length_b 15.996
_cell_length_c 5.931
_cell_angle_alpha 90.00
_cell_angle_beta 118.70
_cell_angle_gamma 90.00
loop_
_symmetry_equiv_pos_as_xyz
'x,y,z'
'-x,-y,-z'
'-x,y,-z'
'x,-y,z'
'x+1/2,y+1/2,z'
'-x+1/2,-y+1/2,-z'
'-x+1/2,y+1/2,-z'
'x+1/2,-y+1/2,z'
loop_
_atom_site_label
_atom_site_fract_x
_atom_site_fract_y
_atom_site_fract_z
Pr1 0.000 0.000 0.000
Nd1 0.000 0.211 0.000
Nd2 0.086 0.500 0.794
Nd3 0.212 0.116 0.645
Mg1 0.000 0.308 0.500
# Total magnetic moment (Bohr magnetons per cell): 0.0
# N(E_F) (states/eV/atom): 1.2860



B.
# PBE PrNd8Mg2, optimized geometry
data_PrNd8Mg2
_chemical_formula_sum 'Pr2 Nd16 Mg4'
_symmetry_space_group_name_H-M 'C 1 2/m 1'
_symmetry_Int_Tables_number 12
_cell_length_a 17.388
_cell_length_b 5.394
_cell_length_c 8.510
_cell_angle_alpha 90.00
_cell_angle_beta 112.79
_cell_angle_gamma 90.00
loop_
_symmetry_equiv_pos_as_xyz
'x,y,z'
'-x,-y,-z'
'-x,y,-z'
'x,-y,z'
'x+1/2,y+1/2,z'
'-x+1/2,-y+1/2,-z'
'-x+1/2,y+1/2,-z'
'x+1/2,-y+1/2,z'
loop_
_atom_site_label
_atom_site_fract_x
_atom_site_fract_y
_atom_site_fract_z
Pr1 0.000 0.000 0.000
Nd1 0.052 0.500 0.735
Nd2 0.099 0.000 0.467
Nd3 0.148 0.500 0.204
Nd4 0.186 0.000 0.950
Mg1 0.225 0.500 0.630
# Total magnetic moment (Bohr magnetons per cell): 0.0
# N(E_F) (states/eV/atom): 1.3724



Name the least stable of them. A.



A.
# PBE PrNdMgSc, optimized geometry
data_PrNdMgSc
_chemical_formula_sum 'Pr4 Nd4 Mg4 Sc4'
_symmetry_space_group_name_H-M 'F -4 3 m'
_symmetry_Int_Tables_number 216
_symmetry_space_group_name_Hall 'F -4 2 3'
_cell_length_a 7.801
_cell_length_b 7.801
_cell_length_c 7.801
_cell_angle_alpha 90.00
_cell_angle_beta 90.00
_cell_angle_gamma 90.00
loop_
_atom_site_label
_atom_site_fract_x
_atom_site_fract_y
_atom_site_fract_z
Pr1 0.000 0.000 0.000
Nd1 0.000 0.000 0.500
Mg1 0.250 0.250 0.750
Sc1 0.250 0.250 0.250
# Total magnetic moment (Bohr magnetons per cell): 0.0
# N(E_F) (states/eV/atom): 1.2132



B.
# PBE PrNdMgSc, optimized geometry
data_PrNdMgSc
_chemical_formula_sum 'Pr1 Nd1 Mg1 Sc1'
_symmetry_space_group_name_H-M 'P 4 m m'
_symmetry_Int_Tables_number 99
_cell_length_a 3.731
_cell_length_b 3.731
_cell_length_c 8.610
_cell_angle_alpha 90.00
_cell_angle_beta 90.00
_cell_angle_gamma 90.00
loop_
_symmetry_equiv_pos_as_xyz
'x,y,z'
'-y,x,z'
'-x,-y,z'
'y,-x,z'
'-x,y,z'
'y,x,z'
'x,-y,z'
'-y,-x,z'
loop_
_atom_site_label
_atom_site_fract_x
_atom_site_fract_y
_atom_site_fract_z
Pr1 0.000 0.000 0.000
Nd1 0.000 0.000 0.495
Mg1 0.500 0.500 0.249
Sc1 0.500 0.500 0.746
# Total magnetic moment (Bohr magnetons per cell): 0.3
# N(E_F) (states/eV/atom): 1.5630



Name the least stable of them. A.